(1)
# LiZrTe3 (PBE, relaxed)
data_LiZrTe3
_cell_length_a 9.250
_cell_length_b 9.250
_cell_length_c 7.020
_cell_angle_alpha 98.64
_cell_angle_beta 98.64
_cell_angle_gamma 82.67
_symmetry_space_group_name_H-M 'P 1'
_symmetry_Int_Tables_number 1
loop_
_symmetry_equiv_pos_as_xyz
'x,y,z'
loop_
_atom_site_label
_atom_site_fract_x
_atom_site_fract_y
_atom_site_fract_z
_atom_site_occupancy
Li1 0.094 0.906 0.750 1
Li2 0.263 0.737 0.250 1
Li3 0.737 0.263 0.750 1
Li4 0.906 0.094 0.250 1
Zr1 0.164 0.337 0.023 1
Zr2 0.337 0.164 0.523 1
Zr3 0.663 0.836 0.477 1
Zr4 0.836 0.663 0.977 1
Te1 0.043 0.200 0.640 1
Te2 0.130 0.608 0.862 1
Te3 0.200 0.043 0.140 1
Te4 0.287 0.455 0.411 1
Te5 0.392 0.870 0.638 1
Te6 0.455 0.287 0.911 1
Te7 0.545 0.713 0.089 1
Te8 0.608 0.130 0.362 1
Te9 0.713 0.545 0.589 1
Te10 0.800 0.957 0.860 1
Te11 0.870 0.392 0.138 1
Te12 0.957 0.800 0.360 1
# Formation energy from raw total energies   -3.48 eV/f.u.
# VASP energy   -93.48 eV/cell
# SG   C2/c (15)
# Energy relative to the lowest polymorph listed for this composition   0.000 eV per atom
# Total magnetization   0.00 μB/f.u.

***

(2)
# AcNd4 (PBE, relaxed)
data_AcNd4
_cell_length_a 6.617
_cell_length_b 9.697
_cell_length_c 6.544
_cell_angle_alpha 90.00
_cell_angle_beta 116.04
_cell_angle_gamma 90.00
_symmetry_space_group_name_H-M 'P 1'
_symmetry_Int_Tables_number 1
loop_
_symmetry_equiv_pos_as_xyz
'x,y,z'
loop_
_atom_site_label
_atom_site_fract_x
_atom_site_fract_y
_atom_site_fract_z
_atom_site_occupancy
Ac1 0.000 0.124 0.250 1
Ac2 0.000 0.876 0.750 1
Nd1 0.255 0.449 0.522 1
Nd2 0.255 0.551 0.022 1
Nd3 0.340 0.186 0.932 1
Nd4 0.340 0.814 0.432 1
Nd5 0.660 0.186 0.568 1
Nd6 0.660 0.814 0.068 1
Nd7 0.745 0.449 0.978 1
Nd8 0.745 0.551 0.478 1
# VASP energy   -44.80 eV/cell
# Formation energy   0.156 eV/atom
# SG   P2/c (13)
# Energy relative to the lowest polymorph listed for this composition   0.129 eV per atom
# Total magnetization   0.00 μB/f.u.

***

(3)
# Mg2ZnPb (PBE, relaxed)
data_Mg2ZnPb
_cell_length_a 3.765
_cell_length_b 5.213
_cell_length_c 9.314
_cell_angle_alpha 90.00
_cell_angle_beta 90.00
_cell_angle_gamma 90.00
_symmetry_space_group_name_H-M 'P 1'
_symmetry_Int_Tables_number 1
loop_
_symmetry_equiv_pos_as_xyz
'x,y,z'
loop_
_atom_site_label
_atom_site_fract_x
_atom_site_fract_y
_atom_site_fract_z
_atom_site_occupancy
Mg1 0.000 0.000 0.228 1
Mg2 0.000 0.000 0.772 1
Mg3 0.500 0.500 0.272 1
Mg4 0.500 0.500 0.728 1
Zn1 0.000 0.500 0.500 1
Zn2 0.500 0.000 0.000 1
Pb1 0.000 0.500 0.000 1
Pb2 0.500 0.000 0.500 1
# VASP energy   -16.14 eV/cell
# Formation energy   0.025 eV/atom
# SG   Immm (71)
# Total magnetization   0.00 μB/f.u.

***

(4)
# RbZn2Ag (PBE, relaxed)
data_RbZn2Ag
_cell_length_a 4.606
_cell_length_b 4.606
_cell_length_c 18.960
_cell_angle_alpha 90.00
_cell_angle_beta 90.00
_cell_angle_gamma 120.00
_symmetry_space_group_name_H-M 'P 1'
_symmetry_Int_Tables_number 1
loop_
_symmetry_equiv_pos_as_xyz
'x,y,z'
loop_
_atom_site_label
_atom_site_fract_x
_atom_site_fract_y
_atom_site_fract_z
_atom_site_occupancy
Rb1 0.000 0.000 0.000 1
Rb2 0.333 0.667 0.667 1
Rb3 0.667 0.333 0.333 1
Zn1 0.000 0.000 0.180 1
Zn2 0.000 0.000 0.820 1
Zn3 0.333 0.667 0.487 1
Zn4 0.333 0.667 0.846 1
Zn5 0.667 0.333 0.154 1
Zn6 0.667 0.333 0.513 1
Ag1 0.000 0.000 0.500 1
Ag2 0.333 0.667 0.167 1
Ag3 0.667 0.333 0.833 1
# VASP energy   -19.30 eV/cell
# Formation energy   -0.016 eV/atom
# SG   R-3m (166)
# Energy relative to the lowest polymorph listed for this composition   0.000 eV per atom
# Total magnetization   0.00 μB/f.u.

***

(5)
# Mg3Zn9Ag2 (PBE, relaxed)
data_Mg3Zn9Ag2
_cell_length_a 8.073
_cell_length_b 8.073
_cell_length_c 8.073
_cell_angle_alpha 148.54
_cell_angle_beta 114.90
_cell_angle_gamma 74.10
_symmetry_space_group_name_H-M 'P 1'
_symmetry_Int_Tables_number 1
loop_
_symmetry_equiv_pos_as_xyz
'x,y,z'
loop_
_atom_site_label
_atom_site_fract_x
_atom_site_fract_y
_atom_site_fract_z
_atom_site_occupancy
Mg1 0.000 0.000 0.000 1
Mg2 0.301 0.301 0.000 1
Mg3 0.699 0.699 0.000 1
Zn1 0.037 0.681 0.356 1
Zn2 0.142 0.873 0.269 1
Zn3 0.325 0.681 0.644 1
Zn4 0.396 0.127 0.269 1
Zn5 0.500 0.000 0.500 1
Zn6 0.604 0.873 0.731 1
Zn7 0.675 0.319 0.356 1
Zn8 0.858 0.127 0.731 1
Zn9 0.963 0.319 0.644 1
Ag1 0.307 0.500 0.807 1
Ag2 0.693 0.500 0.193 1
# VASP energy   -22.50 eV/cell
# Formation energy   -0.039 eV/atom
# SG   Immm (71)
# Total magnetization   0.00 μB/f.u.

***

(6)
# CaPr2Te4 (PBE, relaxed)
data_CaPr2Te4
_cell_length_a 8.330
_cell_length_b 8.330
_cell_length_c 8.330
_cell_angle_alpha 109.82
_cell_angle_beta 109.82
_cell_angle_gamma 108.77
_symmetry_space_group_name_H-M 'P 1'
_symmetry_Int_Tables_number 1
loop_
_symmetry_equiv_pos_as_xyz
'x,y,z'
loop_
_atom_site_label
_atom_site_fract_x
_atom_site_fract_y
_atom_site_fract_z
_atom_site_occupancy
Ca1 0.000 0.000 0.000 1
Ca2 0.750 0.250 0.500 1
Pr1 0.250 0.625 0.125 1
Pr2 0.375 0.500 0.625 1
Pr3 0.500 0.125 0.875 1
Pr4 0.875 0.750 0.375 1
Te1 0.124 0.227 0.747 1
Te2 0.127 0.731 0.753 1
Te3 0.269 0.023 0.397 1
Te4 0.481 0.377 0.253 1
Te5 0.623 0.876 0.103 1
Te6 0.626 0.873 0.603 1
Te7 0.773 0.519 0.897 1
Te8 0.977 0.374 0.247 1
# Formation energy from raw total energies   -10.50 eV/f.u.
# VASP energy   -69.25 eV/cell
# SG   I-42d (122)
# Energy relative to the lowest polymorph listed for this composition   0.000 eV per atom
# Total magnetization   0.00 μB/f.u.

***

(7)
# NdGdSi (PBE, relaxed)
data_NdGdSi
_cell_length_a 7.009
_cell_length_b 7.009
_cell_length_c 7.009
_cell_angle_alpha 90.00
_cell_angle_beta 90.00
_cell_angle_gamma 90.00
_symmetry_space_group_name_H-M 'P 1'
_symmetry_Int_Tables_number 1
loop_
_symmetry_equiv_pos_as_xyz
'x,y,z'
loop_
_atom_site_label
_atom_site_fract_x
_atom_site_fract_y
_atom_site_fract_z
_atom_site_occupancy
Nd1 0.000 0.000 0.000 1
Nd2 0.000 0.500 0.500 1
Nd3 0.500 0.000 0.500 1
Nd4 0.500 0.500 0.000 1
Gd1 0.000 0.000 0.500 1
Gd2 0.000 0.500 0.000 1
Gd3 0.500 0.000 0.000 1
Gd4 0.500 0.500 0.500 1
Si1 0.250 0.250 0.750 1
Si2 0.250 0.750 0.250 1
Si3 0.750 0.250 0.250 1
Si4 0.750 0.750 0.750 1
# Formation energy from raw total energies   -1.36 eV/f.u.
# VASP energy   -102.53 eV/cell
# SG   F-43m (216)
# Energy relative to the lowest polymorph listed for this composition   0.000 eV per atom
# Total magnetization   7.70 μB/f.u.

***

(8)
# KMoAs2 (PBE, relaxed)
data_KMoAs2
_cell_length_a 8.093
_cell_length_b 3.261
_cell_length_c 7.853
_cell_angle_alpha 90.00
_cell_angle_beta 112.59
_cell_angle_gamma 90.00
_symmetry_space_group_name_H-M 'P 1'
_symmetry_Int_Tables_number 1
loop_
_symmetry_equiv_pos_as_xyz
'x,y,z'
loop_
_atom_site_label
_atom_site_fract_x
_atom_site_fract_y
_atom_site_fract_z
_atom_site_occupancy
K1 0.000 0.000 0.000 1
K2 0.500 0.500 0.000 1
Mo1 0.266 0.500 0.475 1
Mo2 0.766 0.000 0.475 1
As1 0.161 0.000 0.672 1
As2 0.426 0.000 0.349 1
As3 0.661 0.500 0.672 1
As4 0.926 0.500 0.349 1
# VASP energy   -42.73 eV/cell
# Formation energy   -0.034 eV/atom
# SG   Cm (8)
# Energy relative to the lowest polymorph listed for this composition   0.190 eV per atom
# Total magnetization   0.00 μB/f.u.

***

(9)
# PaTcN3 (PBE, relaxed)
data_PaTcN3
_cell_length_a 3.905
_cell_length_b 3.905
_cell_length_c 3.905
_cell_angle_alpha 90.00
_cell_angle_beta 90.00
_cell_angle_gamma 90.00
_symmetry_space_group_name_H-M 'P 1'
_symmetry_Int_Tables_number 1
loop_
_symmetry_equiv_pos_as_xyz
'x,y,z'
loop_
_atom_site_label
_atom_site_fract_x
_atom_site_fract_y
_atom_site_fract_z
_atom_site_occupancy
Pa1 0.000 0.000 0.000 1
Tc1 0.500 0.500 0.500 1
N1 0.000 0.500 0.500 1
N2 0.500 0.000 0.500 1
N3 0.500 0.500 0.000 1
# Formation energy from raw total energies   -2.23 eV/f.u.
# VASP energy   -47.07 eV/cell
# SG   Pm-3m (221)
# Total magnetization   0.82 μB/f.u.

***

(10)
# NdLuCdPt (PBE, relaxed)
data_NdLuCdPt
_cell_length_a 7.257
_cell_length_b 7.257
_cell_length_c 7.257
_cell_angle_alpha 90.00
_cell_angle_beta 90.00
_cell_angle_gamma 90.00
_symmetry_space_group_name_H-M 'P 1'
_symmetry_Int_Tables_number 1
loop_
_symmetry_equiv_pos_as_xyz
'x,y,z'
loop_
_atom_site_label
_atom_site_fract_x
_atom_site_fract_y
_atom_site_fract_z
_atom_site_occupancy
Nd1 0.000 0.000 0.000 1
Nd2 0.000 0.500 0.500 1
Nd3 0.500 0.000 0.500 1
Nd4 0.500 0.500 0.000 1
Lu1 0.000 0.000 0.500 1
Lu2 0.000 0.500 0.000 1
Lu3 0.500 0.000 0.000 1
Lu4 0.500 0.500 0.500 1
Cd1 0.250 0.250 0.250 1
Cd2 0.250 0.750 0.750 1
Cd3 0.750 0.250 0.750 1
Cd4 0.750 0.750 0.250 1
Pt1 0.250 0.250 0.750 1
Pt2 0.250 0.750 0.250 1
Pt3 0.750 0.250 0.250 1
Pt4 0.750 0.750 0.750 1
# VASP energy   -75.76 eV/cell
# Formation energy   -0.674 eV/atom
# SG   F-43m (216)
# Total magnetization   0.00 μB/f.u.

***

(11)
# LaY2Rh2 (PBE, relaxed)
data_LaY2Rh2
_cell_length_a 6.923
_cell_length_b 6.923
_cell_length_c 10.007
_cell_angle_alpha 90.00
_cell_angle_beta 90.00
_cell_angle_gamma 147.50
_symmetry_space_group_name_H-M 'P 1'
_symmetry_Int_Tables_number 1
loop_
_symmetry_equiv_pos_as_xyz
'x,y,z'
loop_
_atom_site_label
_atom_site_fract_x
_atom_site_fract_y
_atom_site_fract_z
_atom_site_occupancy
La1 0.094 0.906 0.750 1
La2 0.906 0.094 0.250 1
Y1 0.354 0.646 0.570 1
Y2 0.354 0.646 0.930 1
Y3 0.646 0.354 0.070 1
Y4 0.646 0.354 0.430 1
Rh1 0.000 0.000 0.000 1
Rh2 0.000 0.000 0.500 1
Rh3 0.246 0.754 0.250 1
Rh4 0.754 0.246 0.750 1
# VASP energy   -71.76 eV/cell
# Formation energy   -0.664 eV/atom
# SG   Cmcm (63)
# Energy relative to the lowest polymorph listed for this composition   0.000 eV per atom
# Total magnetization   0.00 μB/f.u.

***

(12)
# CdPbAu2 (PBE, relaxed)
data_CdPbAu2
_cell_length_a 3.296
_cell_length_b 3.296
_cell_length_c 28.836
_cell_angle_alpha 90.00
_cell_angle_beta 90.00
_cell_angle_gamma 120.00
_symmetry_space_group_name_H-M 'P 1'
_symmetry_Int_Tables_number 1
loop_
_symmetry_equiv_pos_as_xyz
'x,y,z'
loop_
_atom_site_label
_atom_site_fract_x
_atom_site_fract_y
_atom_site_fract_z
_atom_site_occupancy
Cd1 0.000 0.000 0.000 1
Cd2 0.333 0.667 0.667 1
Cd3 0.667 0.333 0.333 1
Pb1 0.000 0.000 0.768 1
Pb2 0.333 0.667 0.434 1
Pb3 0.667 0.333 0.101 1
Au1 0.000 0.000 0.258 1
Au2 0.000 0.000 0.517 1
Au3 0.333 0.667 0.184 1
Au4 0.333 0.667 0.924 1
Au5 0.667 0.333 0.591 1
Au6 0.667 0.333 0.851 1
# VASP energy   -33.14 eV/cell
# Formation energy   0.033 eV/atom
# SG   R3m (160)
# Total magnetization   0.00 μB/f.u.